# 1
Material: TbSc2Bi
Method: DFT, GGA-PBE
State: optimized geometry

Its total energy is -5.15 eV per atom. As for the density of states at the Fermi level: 20.8 states/eV/cell. Its energy relative to the elements is 144 meV/atom.

Unit cell a=3.3920 b=3.3920 c=34.1434 alpha=90.00 beta=90.00 gamma=120.00
Last column: nearest neighbours and their distance in Å.
Space group R-3m (No. 166, hexagonal axes)
One atom of each set of equivalent atoms:
Tb 0.0000 0.0000 0.0000 [3 per cell]  2 Sc 3.20, 6 Tb 3.39
Sc 0.0000 0.0000 0.0937 [6 per cell]  3 Bi 3.17, 1 Tb 3.20, 6 Sc 3.39
Bi 0.0000 0.0000 0.5000 [3 per cell]  6 Sc 3.17, 6 Bi 3.39

***

# 2
Material: Tb3Sc7Bi2
Method: DFT, GGA-PBE
State: optimized geometry

Its total energy is -5.59 eV per atom. As for the density of states at the Fermi level: 63.0 states/eV/cell. Its energy relative to the elements is -95 meV/atom.

Unit cell a=6.3215 b=6.3215 c=29.3510 alpha=90.00 beta=90.00 gamma=120.00
Last column: nearest neighbours and their distance in Å.
Space group R-3m (No. 166, hexagonal axes)
One atom of each set of equivalent atoms:
Tb 0.0000 0.0000 0.0000 [3 per cell]  6 Bi 3.65, 12 Sc 3.99
Tb 0.0000 0.0000 0.1414 [6 per cell]  12 Sc 3.59-3.72, 3 Tb 3.94
Sc 0.0000 0.0000 0.5000 [3 per cell]  6 Sc 3.06
Sc 0.0004 0.5002 0.0831 [18 per cell]  2 Bi 3.04-3.05, 5 Sc 3.06-3.16
Bi 0.0000 0.0000 0.3334 [6 per cell]  6 Sc 3.04-3.05

***

# 3
Material: TbSc3Bi3
Method: DFT, GGA-PBE
State: optimized geometry

Its total energy is -5.58 eV per atom. As for the density of states at the Fermi level: 35.6 states/eV/cell. Its energy relative to the elements is -543 meV/atom.

Unit cell a=8.7892 b=8.7892 c=18.1929 alpha=90.00 beta=90.00 gamma=120.00
Last column: nearest neighbours and their distance in Å.
Space group R-3 (No. 148, hexagonal axes)
One atom of each set of equivalent atoms:
Tb 0.0000 0.0000 0.1651 [6 per cell]  6 Bi 3.18
Sc 0.0006 0.7404 0.4237 [18 per cell]  5 Bi 2.97-3.21
Bi 0.0026 0.3851 0.4105 [18 per cell]  5 Sc 2.97-3.21, 2 Tb 3.18

***

# 4
Material: Tb4ScBi5
Method: DFT, GGA-PBE
State: optimized geometry

Its total energy is -5.25 eV per atom. As for the density of states at the Fermi level: 2.7 states/eV/cell. Its energy relative to the elements is -824 meV/atom.

Unit cell a=4.4585 b=4.4585 c=31.4224 alpha=90.00 beta=90.00 gamma=90.00
Last column: nearest neighbours and their distance in Å.
Space group I4/mmm (No. 139)
One atom of each set of equivalent atoms:
Tb 0.0000 0.0000 0.0995 [4 per cell]  6 Bi 3.13-3.17
Tb 0.0000 0.0000 0.3016 [4 per cell]  6 Bi 3.15-3.19
Sc 0.0000 0.0000 0.5000 [2 per cell]  6 Bi 3.04-3.15
Bi 0.0000 0.0000 0.0000 [2 per cell]  2 Tb 3.13, 4 Sc 3.15
Bi 0.0000 0.0000 0.2003 [4 per cell]  6 Tb 3.15-3.18
Bi 0.0000 0.0000 0.4033 [4 per cell]  1 Sc 3.04, 5 Tb 3.15-3.19

***

# 5
Material: Tb5Sc2Bi4
Method: DFT, GGA-PBE
State: optimized geometry

Its total energy is -5.10 eV per atom. As for the density of states at the Fermi level: 16.7 states/eV/cell. Its energy relative to the elements is -436 meV/atom.

Unit cell a=21.5506 b=4.2778 c=7.6850 alpha=90.00 beta=105.83 gamma=90.00
Last column: nearest neighbours and their distance in Å.
Space group C2/m (No. 12)
One atom of each set of equivalent atoms:
Tb 0.0000 0.0000 0.0000 [2 per cell]  4 Bi 3.10
Tb 0.1421 0.5000 0.9511 [4 per cell]  4 Bi 3.23-3.56, 2 Sc 3.40
Tb 0.1736 0.5000 0.4437 [4 per cell]  4 Bi 3.13-3.18
Sc 0.0737 0.0000 0.6082 [4 per cell]  5 Bi 3.00-3.19, 1 Sc 3.16
Bi 0.0229 0.5000 0.3031 [4 per cell]  3 Tb 3.10-3.13, 4 Sc 3.14-3.19, 1 Bi 3.43
Bi 0.2178 0.0000 0.7589 [4 per cell]  1 Sc 3.00, 6 Tb 3.15-3.27

***

# 6
Material: TbScBiTe
Method: DFT, GGA-PBE
State: optimized geometry

As for the uncorrected formation energy: -999.4 meV/atom. Its total energy is -5.50 eV per atom. As for the density of states at the Fermi level: 6.2 states/eV/cell.

Unit cell a=4.3328 b=4.3328 c=21.1552 alpha=90.00 beta=90.00 gamma=120.00
Last column: nearest neighbours and their distance in Å.
Space group R3m (No. 160, hexagonal axes)
One atom of each set of equivalent atoms:
Tb 0.0000 0.0000 0.0000 [3 per cell]  3 Bi 3.12, 3 Te 3.13
Sc 0.0000 0.0000 0.5004 [3 per cell]  3 Bi 2.99, 3 Te 3.00
Bi 0.0000 0.0000 0.2448 [3 per cell]  3 Sc 2.99, 3 Tb 3.12
Te 0.0000 0.0000 0.7553 [3 per cell]  3 Sc 3.00, 3 Tb 3.13

***

# 7
Material: Tb2ThScBi4
Method: DFT, GGA-PBE
State: optimized geometry

Its total energy is -5.55 eV per atom. As for the density of states at the Fermi level: 1.9 states/eV/cell. Its energy relative to the elements is -738 meV/atom.

Unit cell a=7.7237 b=4.4855 c=7.7607 alpha=90.00 beta=109.52 gamma=90.00
Last column: nearest neighbours and their distance in Å.
Space group P2/m (No. 10)
One atom of each set of equivalent atoms:
Tb 0.0000 0.0000 0.0000 [1 per cell]  6 Bi 3.23
Tb 0.5000 0.5000 0.0000 [1 per cell]  6 Bi 3.13
Th 0.0000 0.5000 0.5000 [1 per cell]  6 Bi 3.20
Sc 0.5000 0.0000 0.5000 [1 per cell]  6 Bi 3.10
Bi 0.2611 0.0000 0.7509 [2 per cell]  1 Sc 3.10, 3 Tb 3.13-3.23, 2 Th 3.20
Bi 0.2628 0.5000 0.2574 [2 per cell]  2 Sc 3.10, 3 Tb 3.13-3.23, 1 Th 3.20

***

# 8
Material: TbTh2ScBi5
Method: DFT, GGA-PBE
State: optimized geometry

Its total energy is -4.93 eV per atom. As for the density of states at the Fermi level: 6.4 states/eV/cell. Its energy relative to the elements is 93 meV/atom.

Unit cell a=5.4736 b=5.4736 c=11.3860 alpha=90.00 beta=90.00 gamma=90.00
Last column: nearest neighbours and their distance in Å.
Space group P4/mmm (No. 123)
One atom of each set of equivalent atoms:
Tb 0.0000 0.0000 0.0000 [1 per cell]  6 Bi 2.74-2.97
Th 0.5000 0.5000 0.2012 [2 per cell]  5 Bi 3.40-3.57
Sc 0.0000 0.0000 0.5000 [1 per cell]  2 Bi 2.73
Bi 0.0000 0.0000 0.2605 [2 per cell]  1 Sc 2.73, 1 Tb 2.97
Bi 0.0000 0.5000 0.0000 [2 per cell]  2 Tb 2.74
Bi 0.5000 0.5000 0.5000 [1 per cell]  2 Th 3.40